P:
An optimized crystal structure of Pr2DyEr2. Source: Alexandria via LeMat-Bulk, functional GGA-PBE.

Structure (CIF):
```
data_Pr2DyEr2
_chemical_formula_sum 'Pr4 Dy2 Er4'
_symmetry_space_group_name_H-M 'C 1 2/m 1'
_symmetry_Int_Tables_number 12
_symmetry_space_group_name_Hall '-C 2y'
_cell_length_a 6.245
_cell_length_b 3.613
_cell_length_c 14.721
_cell_angle_alpha 90.00
_cell_angle_beta 98.28
_cell_angle_gamma 90.00
loop_
_atom_site_label
_atom_site_fract_x
_atom_site_fract_y
_atom_site_fract_z
Pr1 0.133 0.000 0.392
Dy1 0.000 0.000 0.000
Er1 0.101 0.500 0.807
```



Q:
An optimized crystal structure of Pr2DyEr2. Source: Alexandria via LeMat-Bulk, functional GGA-PBE.

Structure (CIF):
```
data_Pr2DyEr2
_chemical_formula_sum 'Pr8 Dy4 Er8'
_symmetry_space_group_name_H-M 'C m c m'
_symmetry_Int_Tables_number 63
_symmetry_space_group_name_Hall '-C 2c 2'
_cell_length_a 6.889
_cell_length_b 16.267
_cell_length_c 6.255
_cell_angle_alpha 90.00
_cell_angle_beta 90.00
_cell_angle_gamma 90.00
loop_
_atom_site_label
_atom_site_fract_x
_atom_site_fract_y
_atom_site_fract_z
Pr1 0.000 0.100 0.250
Pr2 0.000 0.330 0.750
Dy1 0.000 0.500 0.000
Er1 0.239 0.330 0.250
```



Relative to the most stable one, in meV per atom, the structures come out at P 0; Q 279.



P:
An optimized crystal structure of Pr5Dy3Er. Source: Alexandria via LeMat-Bulk, functional GGA-PBE.

Structure (CIF):
```
data_Pr5Dy3Er
_chemical_formula_sum 'Pr20 Dy12 Er4'
_symmetry_space_group_name_H-M 'C 1 2/c 1'
_symmetry_Int_Tables_number 15
_symmetry_space_group_name_Hall '-C 2yc'
_cell_length_a 18.954
_cell_length_b 6.521
_cell_length_c 11.609
_cell_angle_alpha 90.00
_cell_angle_beta 116.19
_cell_angle_gamma 90.00
loop_
_atom_site_label
_atom_site_fract_x
_atom_site_fract_y
_atom_site_fract_z
Pr1 0.000 0.102 0.250
Pr2 0.163 0.190 0.710
Pr3 0.174 0.325 0.359
Dy1 0.000 0.500 0.000
Dy2 0.160 0.209 0.013
Er1 0.000 0.377 0.750
```



Q:
An optimized crystal structure of Pr5Dy3Er. Source: Alexandria via LeMat-Bulk, functional GGA-PBE.

Structure (CIF):
```
data_Pr5Dy3Er
_chemical_formula_sum 'Pr20 Dy12 Er4'
_symmetry_space_group_name_H-M 'I 4/m c m'
_symmetry_Int_Tables_number 140
_symmetry_space_group_name_Hall '-I 4 2c'
_cell_length_a 9.414
_cell_length_b 9.414
_cell_length_c 14.265
_cell_angle_alpha 90.00
_cell_angle_beta 90.00
_cell_angle_gamma 90.00
loop_
_atom_site_label
_atom_site_fract_x
_atom_site_fract_y
_atom_site_fract_z
Pr1 0.000 0.000 0.000
Pr2 0.202 0.298 0.133
Dy1 0.000 0.000 0.250
Dy2 0.109 0.391 0.500
Er1 0.000 0.500 0.250
```



Relative to the most stable one, in meV per atom, the structures come out at P 0; Q 44.



P:
An optimized crystal structure of Pr7Dy2Er. Source: Alexandria via LeMat-Bulk, functional GGA-PBE.

Structure (CIF):
```
data_Pr7Dy2Er
_chemical_formula_sum 'Pr14 Dy4 Er2'
_symmetry_space_group_name_H-M 'C m m m'
_symmetry_Int_Tables_number 65
_symmetry_space_group_name_Hall '-C 2 2'
_cell_length_a 12.201
_cell_length_b 16.965
_cell_length_c 3.544
_cell_angle_alpha 90.00
_cell_angle_beta 90.00
_cell_angle_gamma 90.00
loop_
_atom_site_label
_atom_site_fract_x
_atom_site_fract_y
_atom_site_fract_z
Pr1 0.000 0.000 0.000
Pr2 0.000 0.179 0.500
Pr3 0.246 0.128 0.000
Dy1 0.000 0.335 0.000
Er1 0.000 0.500 0.500
```



Q:
An optimized crystal structure of Pr7Dy2Er. Source: Alexandria via LeMat-Bulk, functional GGA-PBE.

Structure (CIF):
```
data_Pr7Dy2Er
_chemical_formula_sum 'Pr14 Dy4 Er2'
_symmetry_space_group_name_H-M 'C m m m'
_symmetry_Int_Tables_number 65
_symmetry_space_group_name_Hall '-C 2 2'
_cell_length_a 8.904
_cell_length_b 16.674
_cell_length_c 5.667
_cell_angle_alpha 90.00
_cell_angle_beta 90.00
_cell_angle_gamma 90.00
loop_
_atom_site_label
_atom_site_fract_x
_atom_site_fract_y
_atom_site_fract_z
Pr1 0.000 0.000 0.000
Pr2 0.000 0.281 0.500
Pr3 0.180 0.388 0.000
Dy1 0.000 0.205 0.000
Er1 0.000 0.500 0.500
```



Relative to the most stable one, in meV per atom, the structures come out at P 0; Q 259.



P:
An optimized crystal structure of PrDy2Er. Source: Alexandria via LeMat-Bulk, functional GGA-PBE.

Structure (CIF):
```
data_PrDy2Er
_chemical_formula_sum 'Pr1 Dy2 Er1'
_symmetry_space_group_name_H-M 'P 4/m m m'
_symmetry_Int_Tables_number 123
_symmetry_space_group_name_Hall '-P 4 2'
_cell_length_a 3.577
_cell_length_b 3.577
_cell_length_c 10.123
_cell_angle_alpha 90.00
_cell_angle_beta 90.00
_cell_angle_gamma 90.00
loop_
_atom_site_label
_atom_site_fract_x
_atom_site_fract_y
_atom_site_fract_z
Pr1 0.000 0.000 0.000
Dy1 0.500 0.500 0.257
Er1 0.000 0.000 0.500
```



Q:
An optimized crystal structure of PrDy2Er. Source: Alexandria via LeMat-Bulk, functional GGA-PBE.

Structure (CIF):
```
data_PrDy2Er
_chemical_formula_sum 'Pr2 Dy4 Er2'
_symmetry_space_group_name_H-M 'P m m a'
_symmetry_Int_Tables_number 51
_symmetry_space_group_name_Hall '-P 2a 2a'
_cell_length_a 5.714
_cell_length_b 3.645
_cell_length_c 12.565
_cell_angle_alpha 90.00
_cell_angle_beta 90.00
_cell_angle_gamma 90.00
loop_
_atom_site_label
_atom_site_fract_x
_atom_site_fract_y
_atom_site_fract_z
Pr1 0.250 0.000 0.168
Dy1 0.250 0.500 0.418
Dy2 0.250 0.500 0.913
Er1 0.250 0.000 0.662
```



Relative to the most stable one, in meV per atom, the structures come out at P 6; Q 0.